Entry 1:
Material: TbZn2Ag9
Method: DFT, PBE
State: optimized geometry

Unit cell a=11.2373 b=11.2373 c=7.1876 alpha=90.00 beta=90.00 gamma=90.00
With the nearest neighbours (Å) after each atom.
Space group I4_1/amd (No. 141, origin choice 2)
Unique sites:
1 Tb 0.0000 0.2500 0.3750 [4 per cell]  18 Ag 3.41-3.67
2 Zn 0.0000 0.0000 0.0000 [8 per cell]  10 Ag 2.71-2.95
3 Ag 0.0000 0.2500 0.8750 [4 per cell]  4 Zn 2.95, 8 Ag 2.98
4 Ag 0.1217 0.0512 0.6779 [32 per cell]  2 Zn 2.71-2.75, 6 Ag 2.73-2.98

Summary:
As for the total energy: -2.786 eV/atom. Its energy relative to the elements is -0.050 eV per atom. Its calculated volume is 18.9 A^3/atom.



Entry 2:
Material: Tb2Zn3Ag2
Method: DFT, PBE
State: optimized geometry

Unit cell a=9.9987 b=4.5907 c=6.6788 alpha=90.00 beta=111.89 gamma=90.00
With the nearest neighbours (Å) after each atom.
Space group C2/m (No. 12)
Unique sites:
1 Tb 0.1514 0.0000 0.2608 [4 per cell]  4 Ag 2.99-3.13, 6 Zn 3.13-3.27
2 Zn 0.0000 0.5000 0.5000 [2 per cell]  2 Zn 2.61, 4 Ag 2.83
3 Zn 0.0974 0.5000 0.9205 [4 per cell]  2 Zn 2.54-2.61, 3 Ag 2.77-2.78
4 Ag 0.1444 0.0000 0.7251 [4 per cell]  5 Zn 2.77-2.83, 3 Tb 2.99-3.05

Summary:
As for the total energy: -2.984 eV/atom. Its energy relative to the elements is -0.300 eV per atom. Its calculated volume is 20.3 A^3/atom.



Entry 3:
Material: TbZnAg2
Method: DFT, PBE
State: optimized geometry

Unit cell a=4.4161 b=4.4161 c=4.3079 alpha=90.00 beta=90.00 gamma=90.00
With the nearest neighbours (Å) after each atom.
Space group P4/mmm (No. 123)
Unique sites:
1 Tb 0.0000 0.0000 0.0000 [1 per cell]  8 Ag 3.08, 4 Zn 3.12
2 Zn 0.5000 0.5000 0.0000 [1 per cell]  8 Ag 3.08, 4 Tb 3.12
3 Ag 0.0000 0.5000 0.5000 [2 per cell]  4 Tb 3.08, 4 Zn 3.08, 4 Ag 3.12

Summary:
As for the total energy: -3.013 eV/atom. Its energy relative to the elements is -0.111 eV per atom. Its calculated volume is 21.0 A^3/atom.



Entry 4:
Material: TbZn2Ag
Method: DFT, PBE
State: optimized geometry

Unit cell a=3.3428 b=3.3428 c=6.9316 alpha=90.00 beta=90.00 gamma=90.00
With the nearest neighbours (Å) after each atom.
Space group P4/mmm (No. 123)
Unique sites:
1 Tb 0.0000 0.0000 0.0000 [1 per cell]  8 Zn 3.09, 4 Tb 3.34
2 Zn 0.5000 0.5000 0.2875 [2 per cell]  4 Ag 2.78, 1 Zn 2.95, 4 Tb 3.09
3 Ag 0.0000 0.0000 0.5000 [1 per cell]  8 Zn 2.78

Summary:
As for the total energy: -2.685 eV/atom. Its energy relative to the elements is -0.178 eV per atom. Its calculated volume is 19.4 A^3/atom.



Entry 5:
Material: Tb3Zn6Ag20
Method: DFT, PBE
State: optimized geometry

Unit cell a=13.0427 b=13.0427 c=13.0427 alpha=90.00 beta=90.00 gamma=90.00
With the nearest neighbours (Å) after each atom.
Space group Fm-3m (No. 225)
Unique sites:
1 Tb 0.0000 0.0000 0.0000 [4 per cell]  12 Ag 3.23, 6 Zn 3.46
2 Tb 0.2500 0.2500 0.2500 [8 per cell]  4 Ag 2.99
3 Zn 0.0000 0.0000 0.2656 [24 per cell]  8 Ag 2.57-2.65
4 Ag 0.0000 0.1749 0.1749 [48 per cell]  2 Zn 2.57, 1 Ag 2.77
5 Ag 0.1178 0.1178 0.3822 [32 per cell]  3 Zn 2.65

Summary:
As for the total energy: -2.743 eV/atom. Its energy relative to the elements is -0.034 eV per atom. Its calculated volume is 19.1 A^3/atom.



Entry 6:
Material: TbZnAg3
Method: DFT, PBE
State: optimized geometry

Unit cell a=5.7606 b=5.7713 c=6.0363 alpha=90.00 beta=93.82 gamma=90.00
With the nearest neighbours (Å) after each atom.
Space group P2_1/m (No. 11)
Unique sites:
1 Tb 0.1587 0.2500 0.1687 [2 per cell]  4 Zn 3.16-3.33, 10 Ag 3.16-3.42
2 Zn 0.0612 0.7500 0.3548 [2 per cell]  5 Ag 2.58-2.69
3 Ag 0.3233 0.5014 0.6534 [4 per cell]  2 Zn 2.65-2.69, 5 Ag 2.82-2.90
4 Ag 0.3616 0.7500 0.0567 [2 per cell]  1 Zn 2.58, 4 Ag 2.82-2.84

Summary:
As for the total energy: -3.103 eV/atom. Its energy relative to the elements is -0.212 eV per atom. Its calculated volume is 20.0 A^3/atom. As for the energy above the most stable polymorph in this dataset: 0.0000 eV/atom.



Entry 7:
Material: Tb3Zn4Ag4
Method: DFT, PBE
State: optimized geometry

Unit cell a=3.5420 b=4.5632 c=14.3508 alpha=81.00 beta=82.95 gamma=89.97
With the nearest neighbours (Å) after each atom.
Space group P-1 (No. 2)
Unique sites:
1 Tb 0.0000 0.0000 0.0000 [1 per cell]  8 Zn 3.15-3.16, 4 Ag 3.17
2 Tb 0.1411 0.6400 0.7186 [2 per cell]  6 Zn 3.17-3.22, 6 Ag 3.18-3.27, 2 Tb 3.54
3 Zn 0.3117 0.8129 0.3747 [2 per cell]  5 Ag 2.64-2.74
4 Zn 0.4539 0.4547 0.0905 [2 per cell]  1 Zn 2.55, 2 Ag 2.65
5 Ag 0.2618 0.2619 0.4768 [2 per cell]  4 Zn 2.69-2.74, 4 Ag 2.96-2.97
6 Ag 0.4060 0.9072 0.1869 [2 per cell]  3 Zn 2.64-2.65

Summary:
As for the total energy: -3.034 eV/atom. Its energy relative to the elements is -0.271 eV per atom. Its calculated volume is 20.7 A^3/atom.



Entry 8:
Material: Tb2Zn16Ag
Method: DFT, PBE
State: optimized geometry

Unit cell a=9.0017 b=9.0017 c=13.2155 alpha=90.00 beta=90.00 gamma=120.00
With the nearest neighbours (Å) after each atom.
Space group R3m (No. 160, hexagonal axes)
Unique sites:
1 Tb 0.0000 0.0000 0.0000 [3 per cell]  13 Zn 3.05-3.39
2 Tb 0.0000 0.0000 0.3257 [3 per cell]  1 Ag 3.16, 18 Zn 3.18-3.45
3 Zn 0.0000 0.0000 0.7691 [3 per cell]  12 Zn 2.70-3.02, 1 Ag 2.70
4 Zn 0.9999 0.2970 0.6626 [18 per cell]  8 Zn 2.59-2.77
5 Zn 0.0094 0.5047 0.8147 [9 per cell]  8 Zn 2.55-2.77
6 Zn 0.1677 0.3353 0.4961 [9 per cell]  9 Zn 2.59-2.70, 1 Ag 2.77
7 Zn 0.1725 0.3449 0.8442 [9 per cell]  8 Zn 2.55-2.77
8 Ag 0.0000 0.0000 0.5645 [3 per cell]  13 Zn 2.70-2.97

Summary:
As for the total energy: -1.947 eV/atom. Its energy relative to the elements is -0.237 eV per atom. Its calculated volume is 16.3 A^3/atom.



Entry 9:
Material: Tb4Zn2Ag
Method: DFT, PBE
State: optimized geometry

Unit cell a=5.0561 b=5.0561 c=24.4646 alpha=90.00 beta=90.00 gamma=120.00
With the nearest neighbours (Å) after each atom.
Space group R-3m (No. 166, hexagonal axes)
Unique sites:
1 Tb 0.0000 0.0000 0.1201 [6 per cell]  4 Zn 3.05-3.16, 3 Ag 3.13
2 Tb 0.0000 0.0000 0.3711 [6 per cell]  4 Zn 2.98-3.13, 1 Ag 3.15
3 Zn 0.0000 0.0000 0.2493 [6 per cell]  8 Tb 2.98-3.16
4 Ag 0.0000 0.0000 0.5000 [3 per cell]  8 Tb 3.13-3.15

Summary:
As for the total energy: -3.586 eV/atom. Its energy relative to the elements is -0.168 eV per atom. Its calculated volume is 25.8 A^3/atom.



Entry 10:
Material: Tb3Zn3Ag2
Method: DFT, PBE
State: optimized geometry

Unit cell a=7.1616 b=7.1616 c=4.0695 alpha=90.00 beta=90.00 gamma=120.00
With the nearest neighbours (Å) after each atom.
Space group P-62m (No. 189)
Unique sites:
1 Tb 0.0000 0.3854 0.0000 [3 per cell]  4 Ag 3.01, 4 Zn 3.15
2 Zn 0.0000 0.7757 0.5000 [3 per cell]  2 Zn 2.78, 2 Ag 2.86
3 Ag 0.3333 0.6667 0.5000 [2 per cell]  3 Zn 2.86, 6 Tb 3.01

Summary:
As for the total energy: -3.162 eV/atom. Its energy relative to the elements is -0.236 eV per atom. Its calculated volume is 22.6 A^3/atom.



Entry 11:
Material: Tb2Zn4Ag5
Method: DFT, PBE
State: optimized geometry

Unit cell a=5.5205 b=8.4974 c=9.0890 alpha=90.00 beta=90.00 gamma=90.00
With the nearest neighbours (Å) after each atom.
Space group Immm (No. 71)
Unique sites:
1 Tb 0.0000 0.0000 0.2083 [4 per cell]  6 Zn 2.91-3.10
2 Zn 0.0000 0.3389 0.2565 [8 per cell]  3 Ag 2.60-2.72, 1 Zn 2.74, 1 Tb 2.91
3 Ag 0.0000 0.5000 0.5000 [2 per cell]  4 Zn 2.60
4 Ag 0.2481 0.1819 0.5000 [8 per cell]  4 Zn 2.72-2.92, 3 Ag 2.74-3.03

Summary:
As for the total energy: -2.762 eV/atom. Its energy relative to the elements is -0.161 eV per atom. Its calculated volume is 19.4 A^3/atom.



Entry 12:
Material: Tb5ZnAg4
Method: DFT, PBE
State: optimized geometry

Unit cell a=3.6194 b=3.6194 c=18.3335 alpha=90.00 beta=90.00 gamma=90.00
With the nearest neighbours (Å) after each atom.
Space group P4/mmm (No. 123)
Unique sites:
1 Tb 0.0000 0.0000 0.0000 [1 per cell]  8 Ag 3.15
2 Tb 0.0000 0.0000 0.2023 [2 per cell]  8 Ag 3.16-3.17
3 Tb 0.0000 0.0000 0.4045 [2 per cell]  4 Zn 3.10, 4 Ag 3.16
4 Zn 0.5000 0.5000 0.5000 [1 per cell]  8 Tb 3.10
5 Ag 0.5000 0.5000 0.1005 [2 per cell]  8 Tb 3.15-3.17
6 Ag 0.5000 0.5000 0.3037 [2 per cell]  8 Tb 3.16

Summary:
As for the total energy: -3.908 eV/atom. Its energy relative to the elements is -0.325 eV per atom. Its calculated volume is 24.0 A^3/atom.



Entry 13:
Material: TbZn4Ag
Method: DFT, PBE
State: optimized geometry

Unit cell a=7.5212 b=7.5212 c=7.5212 alpha=90.00 beta=90.00 gamma=90.00
With the nearest neighbours (Å) after each atom.
Space group F-43m (No. 216)
Unique sites:
1 Tb 0.0000 0.0000 0.0000 [4 per cell]  12 Zn 3.12, 4 Ag 3.26
2 Zn 0.1252 0.1252 0.3748 [16 per cell]  6 Zn 2.66
3 Ag 0.2500 0.2500 0.7500 [4 per cell]  12 Zn 3.12, 4 Tb 3.26

Summary:
As for the total energy: -2.279 eV/atom. Its energy relative to the elements is -0.183 eV per atom. Its calculated volume is 17.7 A^3/atom. As for the energy above the most stable polymorph in this dataset: 0.0102 eV/atom.



Entry 14:
Material: Tb2Zn2Ag
Method: DFT, PBE
State: optimized geometry

Unit cell a=7.2941 b=7.2941 c=4.2001 alpha=90.00 beta=90.00 gamma=90.00
With the nearest neighbours (Å) after each atom.
Space group P4/mbm (No. 127)
Unique sites:
1 Tb 0.1704 0.3296 0.0000 [4 per cell]  6 Zn 2.96-3.04
2 Zn 0.1269 0.6269 0.5000 [4 per cell]  1 Zn 2.62, 2 Ag 2.87
3 Ag 0.0000 0.0000 0.5000 [2 per cell]  4 Zn 2.87

Summary:
As for the total energy: -3.226 eV/atom. Its energy relative to the elements is -0.294 eV per atom. Its calculated volume is 22.3 A^3/atom. As for the energy above the most stable polymorph in this dataset: 0.0032 eV/atom.



Entry 15:
Material: Tb5Zn4Ag
Method: DFT, PBE
State: optimized geometry

Unit cell a=3.6014 b=3.6014 c=17.9016 alpha=90.00 beta=90.00 gamma=90.00
With the nearest neighbours (Å) after each atom.
Space group P4/mmm (No. 123)
Unique sites:
1 Tb 0.0000 0.0000 0.0000 [1 per cell]  8 Zn 3.11
2 Tb 0.0000 0.0000 0.1979 [2 per cell]  8 Zn 3.09-3.10
3 Tb 0.0000 0.0000 0.3950 [2 per cell]  4 Zn 3.11, 4 Ag 3.17
4 Zn 0.5000 0.5000 0.0994 [2 per cell]  8 Tb 3.10-3.11
5 Zn 0.5000 0.5000 0.2957 [2 per cell]  8 Tb 3.09-3.11
6 Ag 0.5000 0.5000 0.5000 [1 per cell]  8 Tb 3.17

Summary:
As for the total energy: -3.446 eV/atom. Its energy relative to the elements is -0.336 eV per atom. Its calculated volume is 23.2 A^3/atom.



Entry 16:
Material: TbZn3Ag
Method: DFT, PBE
State: optimized geometry

Unit cell a=7.7621 b=6.3883 c=7.7892 alpha=90.00 beta=105.33 gamma=90.00
With the nearest neighbours (Å) after each atom.
Space group C2/m (No. 12)
Unique sites:
1 Tb 0.2470 0.0000 0.2437 [4 per cell]  6 Zn 2.96-3.08, 2 Ag 3.04
2 Zn 0.0000 0.3056 0.0000 [4 per cell]  3 Zn 2.48-2.69
3 Zn 0.1489 0.0000 0.8502 [4 per cell]  3 Zn 2.43-2.69
4 Zn 0.1550 0.5000 0.3469 [4 per cell]  1 Zn 2.43, 2 Ag 2.66
5 Ag 0.0000 0.2091 0.5000 [4 per cell]  4 Zn 2.66-2.95, 1 Ag 2.67

Summary:
As for the total energy: -2.497 eV/atom. Its energy relative to the elements is -0.237 eV per atom. Its calculated volume is 18.6 A^3/atom. As for the energy above the most stable polymorph in this dataset: 0.0087 eV/atom.



Entry 17:
Material: Tb4ZnAg
Method: DFT, PBE
State: optimized geometry

Unit cell a=3.5852 b=3.5852 c=12.4656 alpha=90.00 beta=90.00 gamma=90.00
With the nearest neighbours (Å) after each atom.
Space group P4/mmm (No. 123)
Unique sites:
1 Tb 0.0000 0.0000 0.1428 [2 per cell]  4 Zn 3.10
2 Tb 0.5000 0.5000 0.3485 [2 per cell]  4 Ag 3.16
3 Zn 0.5000 0.5000 0.0000 [1 per cell]  8 Tb 3.10
4 Ag 0.0000 0.0000 0.5000 [1 per cell]  8 Tb 3.16

Summary:
As for the total energy: -3.965 eV/atom. Its energy relative to the elements is -0.190 eV per atom. Its calculated volume is 26.7 A^3/atom. As for the energy above the most stable polymorph in this dataset: 0.0000 eV/atom.



Entry 18:
Material: TbZn2Ag4
Method: DFT, PBE
State: optimized geometry

Unit cell a=7.0180 b=7.0180 c=5.3187 alpha=90.00 beta=90.00 gamma=90.00
With the nearest neighbours (Å) after each atom.
Space group I4/mmm (No. 139)
Unique sites:
1 Tb 0.0000 0.0000 0.0000 [2 per cell]  12 Ag 3.01-3.30
2 Zn 0.0000 0.5000 0.2500 [4 per cell]  2 Zn 2.66, 8 Ag 2.86
3 Ag 0.1971 0.1971 0.5000 [8 per cell]  4 Ag 2.77-2.86, 4 Zn 2.86, 1 Tb 3.01

Summary:
As for the total energy: -2.837 eV/atom. Its energy relative to the elements is -0.182 eV per atom. Its calculated volume is 18.7 A^3/atom.



Entry 19:
Material: TbZn10Ag
Method: DFT, PBE
State: optimized geometry

Unit cell a=4.3448 b=5.0805 c=9.1744 alpha=90.00 beta=90.00 gamma=90.00
With the nearest neighbours (Å) after each atom.
Space group Pmmm (No. 47)
Unique sites:
1 Tb 0.0000 0.0000 0.0000 [1 per cell]  18 Zn 3.10-3.34
2 Zn 0.0000 0.0000 0.3453 [2 per cell]  9 Zn 2.60-2.89
3 Zn 0.0000 0.5000 0.1945 [2 per cell]  6 Zn 2.57-2.81, 1 Ag 2.80
4 Zn 0.5000 0.0000 0.5000 [1 per cell]  8 Zn 2.60-2.69
5 Zn 0.5000 0.2421 0.2393 [4 per cell]  8 Zn 2.46-2.69
6 Zn 0.5000 0.5000 0.0000 [1 per cell]  8 Zn 2.56-2.81
7 Ag 0.0000 0.5000 0.5000 [1 per cell]  6 Zn 2.80-2.91

Summary:
As for the total energy: -1.790 eV/atom. Its energy relative to the elements is -0.105 eV per atom. Its calculated volume is 16.9 A^3/atom.



Entry 20:
Material: Tb4ZnAg
Method: DFT, PBE
State: optimized geometry

Unit cell a=4.9825 b=4.9825 c=7.1289 alpha=90.00 beta=90.00 gamma=90.00
With the nearest neighbours (Å) after each atom.
Space group P4/mmm (No. 123)
Unique sites:
1 Tb 0.0000 0.5000 0.2443 [4 per cell]  2 Zn 3.04, 2 Ag 3.09
2 Zn 0.0000 0.0000 0.0000 [1 per cell]  8 Tb 3.04
3 Ag 0.5000 0.5000 0.5000 [1 per cell]  8 Tb 3.09

Summary:
As for the total energy: -3.742 eV/atom. Its energy relative to the elements is 0.033 eV per atom. Its calculated volume is 29.5 A^3/atom. As for the energy above the most stable polymorph in this dataset: 0.2227 eV/atom.